[1]
Here is an optimized crystal structure of Nd4SbN from the Alexandria database. Energies are from PBE.

Calculated values
Total moment   0.000 μB per atom
ΔE_f (raw)   -0.7432 eV/atom

Geometry as POSCAR:
```
Nd4SbN
1.0
6.1626 -0.0004 -0.0010
-0.0007 7.3989 0.4502
-3.0839 -2.6348 6.9890
Nd Sb N
8 2 2
direct
0.4809 0.0533 0.8027 Nd
0.6779 0.4473 0.1977 Nd
0.5191 0.9467 0.1973 Nd
0.3221 0.5527 0.8023 Nd
0.8716 0.8190 0.6206 Nd
0.2509 0.6812 0.3796 Nd
0.1284 0.1810 0.3794 Nd
0.7491 0.3188 0.6204 Nd
0.8797 0.7501 0.9999 Sb
0.1203 0.2499 0.0001 Sb
0.5000 0.0000 0.5000 N
0.0000 0.5000 0.5000 N
```

---

[2]
Here is an optimized crystal structure of FeAgSb2 from the Alexandria database. Energies are from PBE.

Calculated values
Total moment   0.730 μB per atom
Energy relative to the lowest polymorph listed for this composition   424 meV/atom
ΔE_f (raw)   0.5844 eV/atom

Geometry as POSCAR:
```
FeAgSb2
1.0
-2.5799 4.0495 1.2908
-4.9580 0.0125 -0.3730
-2.8021 -0.0420 4.1070
Ag Fe Sb
1 1 2
direct
0.5000 0.5000 0.5000 Ag
0.7500 0.7500 0.7500 Fe
0.0000 0.0000 0.0000 Sb
0.2500 0.2500 0.2500 Sb
```